1.
A relaxed structure of Ca2LaOs. Source: the Alexandria database, functional GGA-PBEsol.

Cell: 6.062 6.062 6.062 Å, 137.90 137.90 61.05°
Element x y z (fractional)
Ca  0.250  0.750  0.500
Ca  0.750  0.250  0.500
La  0.000  0.000  0.000
Os  0.500  0.500  0.000

Calculated values
symmetry	I4/mmm, No. 139
formation enthalpy at 0 K	1.579	eV per formula unit
excess energy over the best structure of this formula in the dataset	0	meV/atom



2.
A relaxed structure of Ta2SbAs. Source: the Alexandria database, functional GGA-PBEsol.

Cell: 2.967 2.967 9.739 Å, 90.00 90.00 106.30°
Element x y z (fractional)
Ta  0.000  0.000  0.000
Ta  0.500  0.500  0.224
Sb  0.500  0.500  0.771
As  0.000  0.000  0.421

Calculated values
symmetry	Cmm2, No. 35
formation energy without anion corrections	-0.1246	eV/atom



3.
A relaxed structure of Fe3MoAs. Source: the Alexandria database, functional GGA-PBEsol.

Cell: 4.220 4.220 4.220 Å, 90.00 90.00 90.00°
Element x y z (fractional)
Fe  0.000  0.000  0.500
Fe  0.000  0.500  0.000
Fe  0.500  0.000  0.000
Mo  0.500  0.500  0.500
As  0.000  0.000  0.000

Calculated values
symmetry	Pm-3m, No. 221
formation enthalpy at 0 K	5.486	eV per formula unit



DOS at the Fermi energy / states/eV per atom: 1.215, 0.300, 1.258